# Tb5Tm5Sc, relaxed, DFT GGA-PBE
data_Tb5Tm5Sc
_symmetry_space_group_name_H-M 'P 1'
_symmetry_Int_Tables_number 1
_symmetry_space_group_name_Hall 'P 1'
_cell_length_a 9.7387
_cell_length_b 9.7387
_cell_length_c 6.8783
_cell_angle_alpha 110.55
_cell_angle_beta 110.55
_cell_angle_gamma 34.64
loop_
_atom_site_label
_atom_site_type_symbol
_atom_site_fract_x
_atom_site_fract_y
_atom_site_fract_z
Tb1 Tb 0.0000 0.0000 0.0000
Tb2 Tb 0.3241 0.3241 0.0680
Tb3 Tb 0.3240 0.3240 0.5798
Tb4 Tb 0.6760 0.6760 0.4202
Tb5 Tb 0.6759 0.6759 0.9320
Tm1 Tm 0.1237 0.1237 0.6247
Tm2 Tm 0.1696 0.1696 0.1703
Tm3 Tm 0.5000 0.5000 0.5000
Tm4 Tm 0.8304 0.8304 0.8297
Tm5 Tm 0.8763 0.8763 0.3753
Sc1 Sc 0.5000 0.5000 0.0000
# - ΔE_f: 0.279 eV per atom
# - DOS(E_F): 1.547 states/eV/atom
# - Symmetry: C2/m, No. 12



# ZnHgBr2, relaxed, DFT GGA-PBE
data_ZnHgBr2
_symmetry_space_group_name_H-M 'P 1'
_symmetry_Int_Tables_number 1
_symmetry_space_group_name_Hall 'P 1'
_cell_length_a 3.4029
_cell_length_b 3.4029
_cell_length_c 9.8689
_cell_angle_alpha 90.00
_cell_angle_beta 90.00
_cell_angle_gamma 90.00
loop_
_atom_site_label
_atom_site_type_symbol
_atom_site_fract_x
_atom_site_fract_y
_atom_site_fract_z
Zn1 Zn 0.0000 0.0000 0.0000
Hg1 Hg 0.0000 0.0000 0.5000
Br1 Br 0.5000 0.5000 0.1642
Br2 Br 0.5000 0.5000 0.8358
# - DOS(E_F): 0.125 states/eV/atom
# - Symmetry: P4/mmm, No. 123
# - Formation energy (no corrections): -0.206 eV per atom



# LaCuSi2, relaxed, DFT GGA-PBE
data_LaCuSi2
_symmetry_space_group_name_H-M 'P 1'
_symmetry_Int_Tables_number 1
_symmetry_space_group_name_Hall 'P 1'
_cell_length_a 4.2737
_cell_length_b 4.2737
_cell_length_c 4.2930
_cell_angle_alpha 90.00
_cell_angle_beta 90.00
_cell_angle_gamma 90.00
loop_
_atom_site_label
_atom_site_type_symbol
_atom_site_fract_x
_atom_site_fract_y
_atom_site_fract_z
La1 La 0.0000 0.0000 0.0000
Cu1 Cu 0.5000 0.5000 0.0000
Si1 Si 0.0000 0.5000 0.5000
Si2 Si 0.5000 0.0000 0.5000
# - DOS(E_F): 0.457 states/eV/atom
# - Symmetry: P4/mmm, No. 123
# - Formation energy (no corrections): -0.110 eV per atom